# 1
TmZnInRh | GGA-PBE | relaxed

Properties
E_form: -0.484 eV/atom

abc: 4.7408 4.7408 4.7408
angles: 60.00 60.00 60.00
Fractional positions:
Tm1 0.0000 0.0000 0.0000
Zn1 0.2500 0.2500 0.2500
In1 0.5000 0.5000 0.5000
Rh1 0.7500 0.7500 0.7500



# 2
NaYC | GGA-PBE | relaxed

Properties
E_form: -0.130 eV/atom

abc: 3.5802 4.1806 11.4119
angles: 90.13 90.46 115.24
Fractional positions:
Na1 0.0000 0.0000 0.0000
Na2 0.2859 0.5691 0.2555
Y1 0.2932 0.5610 0.7429
Y2 0.5755 0.1387 0.5160
C1 0.0127 0.0045 0.6609
C2 0.8553 0.6937 0.5985



# 3
KLaMg2In | GGA-PBE | relaxed

Properties
E_form: 0.302 eV/atom

abc: 5.5774 5.5774 6.2077
angles: 90.00 90.00 90.00
Fractional positions:
K1 0.0000 0.0000 0.0000
La1 0.5000 0.5000 0.0000
Mg1 0.0000 0.5000 0.5000
Mg2 0.5000 0.0000 0.5000
In1 0.5000 0.5000 0.5000



# 4
HfAl3P | GGA-PBE | relaxed

Properties
E_form: 0.479 eV/atom

abc: 4.6338 4.6338 4.6338
angles: 90.00 90.00 90.00
Fractional positions:
Hf1 0.0000 0.0000 0.0000
Al1 0.0000 0.5000 0.5000
Al2 0.5000 0.0000 0.5000
Al3 0.5000 0.5000 0.0000
P1 0.5000 0.5000 0.5000



# 5
Ba2Ag2Br | GGA-PBE | relaxed

Properties
Formation energy (no corrections): -0.7134 eV per atom

abc: 9.1423 9.1423 4.5182
angles: 90.00 90.00 90.00
Fractional positions:
Ba1 0.1840 0.3160 0.0000
Ba2 0.3160 0.8160 0.0000
Ba3 0.6840 0.1840 0.0000
Ba4 0.8160 0.6840 0.0000
Ag1 0.1082 0.6082 0.5000
Ag2 0.3918 0.1082 0.5000
Ag3 0.6082 0.8918 0.5000
Ag4 0.8918 0.3918 0.5000
Br1 0.0000 0.0000 0.0000
Br2 0.5000 0.5000 0.0000



# 6
KZr2Au | GGA-PBE | relaxed

Properties
E_form: 0.218 eV/atom

abc: 6.8012 6.8012 6.8012
angles: 153.66 132.39 55.23
Fractional positions:
K1 0.0000 0.0000 0.0000
Zr1 0.2920 0.7920 0.5000
Zr2 0.7080 0.2080 0.5000
Au1 0.5000 0.5000 0.0000